1.
Here is a relaxed Tl2TePb crystal from the Alexandria database. Energies are from PBE-GGA.

The energy relative to the elements, uncorrected comes out at 0 kJ per mole of atoms. Its space group is No. 225.

Lattice parameters (Å, degrees): 5.647 5.647 5.647 60.00 60.00 60.00
Sites, in units of the cell vectors:
Pb 0.500 0.500 0.500
Tl 0.250 0.250 0.250
Tl 0.750 0.750 0.750
Te 0.000 0.000 0.000

=====

2.
Here is a relaxed CaSi2Ir crystal from the Alexandria database. Energies are from PBE-GGA.

The energy relative to the elements, uncorrected comes out at 5 kJ per mole of atoms. Its space group is No. 12.

Lattice parameters (Å, degrees): 4.839 4.839 3.060 89.83 89.83 110.94
Sites, in units of the cell vectors:
Ca 0.500 0.000 0.500
Ir 0.000 0.500 0.500
Si 0.000 0.000 0.000
Si 0.500 0.500 0.000

=====

3.
Here is a relaxed TmHgB crystal from the Alexandria database. Energies are from PBE-GGA.

The calculation puts the energy of formation from the pure elements at -0.213 eV per atom. Its space group is No. 12.

Lattice parameters (Å, degrees): 3.736 4.953 6.891 99.65 90.00 112.15
Sites, in units of the cell vectors:
Tm 0.121 0.243 0.826
Tm 0.879 0.757 0.174
Hg 0.369 0.737 0.585
Hg 0.631 0.263 0.415
B 0.581 0.161 0.066
B 0.419 0.839 0.934